[1]
# Na2ZnHg2

Na2ZnHg2 after structural relaxation (PBE-GGA, Alexandria).

The calculation puts the calculated formation energy at -12 meV/atom. For the total energy, the calculation gives -9.147 eV for the cell shown.

The space group is P4/mbm (No. 127) and the conventional cell measures 8.512, 8.512 and 3.737 Å, with angles of 90.00, 90.00 and 90.00 degrees. The asymmetric unit holds Na at (0.163, 0.337, 0.000), Zn at (0.000, 0.000, 0.000) and Hg at (0.134, 0.634, 0.500).



[2]
# NaZn2Hg

NaZn2Hg after structural relaxation (PBE-GGA, Alexandria).

The calculation puts the calculated formation energy at 26 meV/atom. For the total energy, the calculation gives -4.066 eV for the cell shown.

The space group is P4/mmm (No. 123) and the conventional cell measures 4.305, 4.305 and 4.365 Å, with angles of 90.00, 90.00 and 90.00 degrees. The asymmetric unit holds Na at (0.000, 0.000, 0.000), Zn at (0.000, 0.500, 0.500) and Hg at (0.500, 0.500, 0.000).



[3]
# Na5ZnHg4

Na5ZnHg4 after structural relaxation (PBE-GGA, Alexandria).

The calculation puts the calculated formation energy at -175 meV/atom. For the total energy, the calculation gives -10.828 eV for the cell shown.

The space group is P4/mmm (No. 123) and the conventional cell measures 3.799, 3.799 and 17.673 Å, with angles of 90.00, 90.00 and 90.00 degrees. The asymmetric unit holds Na at (0.000, 0.000, 0.000), Na at (0.000, 0.000, 0.204), Na at (0.000, 0.000, 0.405), Zn at (0.500, 0.500, 0.500), Hg at (0.500, 0.500, 0.101) and Hg at (0.500, 0.500, 0.308).



[4]
# Na4ZnHg15

Na4ZnHg15 after structural relaxation (PBE-GGA, Alexandria).

The calculation puts the calculated formation energy at -121 meV/atom. For the total energy, the calculation gives -13.503 eV for the cell shown.

The space group is P4/mmm (No. 123) and the conventional cell measures 4.759, 4.759 and 22.875 Å, with angles of 90.00, 90.00 and 90.00 degrees. The asymmetric unit holds Na at (0.000, 0.000, 0.102), Na at (0.000, 0.000, 0.306), Zn at (0.000, 0.000, 0.500), Hg at (0.000, 0.500, 0.000), Hg at (0.000, 0.500, 0.203), Hg at (0.000, 0.500, 0.405), Hg at (0.500, 0.500, 0.101), Hg at (0.500, 0.500, 0.303) and Hg at (0.500, 0.500, 0.500).



[5]
# Na2ZrHg2

Na2ZrHg2 after structural relaxation (PBE-GGA, Alexandria).

The calculation puts the calculated formation energy at 136 meV/atom. For the total energy, the calculation gives -22.217 eV for the cell shown.

The space group is P4/mbm (No. 127) and the conventional cell measures 8.415, 8.415 and 3.461 Å, with angles of 90.00, 90.00 and 90.00 degrees. The asymmetric unit holds Na at (0.130, 0.370, 0.000), Zr at (0.000, 0.000, 0.500) and Hg at (0.174, 0.674, 0.500).



[6]
# NaZr4Hg5

NaZr4Hg5 after structural relaxation (PBE-GGA, Alexandria).

The calculation puts the calculated formation energy at -148 meV/atom. For the total energy, the calculation gives -38.500 eV for the cell shown.

The space group is P4/mmm (No. 123) and the conventional cell measures 3.222, 3.222 and 21.300 Å, with angles of 90.00, 90.00 and 90.00 degrees. The asymmetric unit holds Na at (0.000, 0.000, 0.000), Zr at (0.000, 0.000, 0.207), Zr at (0.000, 0.000, 0.402), Hg at (0.500, 0.500, 0.108), Hg at (0.500, 0.500, 0.304) and Hg at (0.500, 0.500, 0.500).